Y3IrC | the Alexandria database | PBE | optimized geometry; size of the total moment = 0.00 μB/f.u.; calculated density = 7.1 g cm⁻³; polymorph energy (0 for the lowest one) = 0.0 meV/atom; energy of formation = -0.265 eV/atom; SG = Pm-3m, No. 221; energy = -7.761 eV per atom
1.0
4.7861 0.0000 0.0000
0.0000 4.7861 0.0000
0.0000 0.0000 4.7861
Y Ir C
3 1 1
Cartesian
0.0000 0.0000 2.3930
0.0000 2.3930 0.0000
2.3930 0.0000 0.0000
2.3930 2.3930 2.3930
0.0000 0.0000 0.0000

ReHIrOs2 | the Alexandria database | PBE | optimized geometry; size of the total moment = 0.00 μB/f.u.; calculated density = 21.0 g cm⁻³; SG = P4/mmm, No. 123; energy = -9.268 eV per atom
1.0
3.9129 0.0000 0.0000
0.0000 3.9129 0.0000
0.0000 0.0000 3.9268
Re H Ir Os
1 1 1 2
Cartesian
0.0000 0.0000 0.0000
0.0000 0.0000 1.9634
1.9564 1.9564 0.0000
0.0000 1.9564 1.9634
1.9564 0.0000 1.9634

Ba2Cd3Sb2O2 | the Alexandria database | PBE | optimized geometry; size of the total moment = 0.00 μB/f.u.; calculated density = 6.6 g cm⁻³; formation energy from raw total energies = -1.116 eV per atom; SG = I4/mmm, No. 139; energy = -3.866 eV per atom
1.0
-2.3010 2.3010 10.5990
2.3010 -2.3010 10.5990
2.3010 2.3010 -10.5990
Ba Cd Sb O
2 3 2 2
Cartesian
0.0000 0.0000 1.7217
0.0000 0.0000 19.4763
2.3010 0.0000 5.2995
0.0000 0.0000 10.5990
0.0000 2.3010 5.2995
0.0000 0.0000 7.1494
0.0000 0.0000 14.0486
2.3010 0.0000 0.0000
0.0000 2.3010 0.0000

MnCoSb | the Alexandria database | PBE | optimized geometry; size of the total moment = 4.19 μB/f.u.; calculated density = 7.9 g cm⁻³; formation energy from raw total energies = 0.184 eV per atom; SG = P1, No. 1; energy = -6.615 eV per atom
1.0
6.0340 0.0000 0.0000
-2.6021 5.8381 0.0000
-0.0619 -3.4650 5.6415
Mn Co Sb
4 4 4
Cartesian
0.0000 0.0000 0.0000
-0.8270 -0.1011 5.1402
2.4484 -0.3968 4.6636
3.2529 3.5734 1.5409
-0.4283 3.5086 2.2703
2.1096 -2.9034 4.8285
1.1181 2.0828 0.8571
4.0240 1.5672 0.6238
0.8632 -0.0302 2.5732
1.0208 4.8493 0.6569
4.3087 -2.2259 3.6979
4.1274 1.4990 3.2004

Repeat the first record exactly.
Y3IrC | the Alexandria database | PBE | optimized geometry; size of the total moment = 0.00 μB/f.u.; calculated density = 7.1 g cm⁻³; polymorph energy (0 for the lowest one) = 0.0 meV/atom; energy of formation = -0.265 eV/atom; SG = Pm-3m, No. 221; energy = -7.761 eV per atom
1.0
4.7861 0.0000 0.0000
0.0000 4.7861 0.0000
0.0000 0.0000 4.7861
Y Ir C
3 1 1
Cartesian
0.0000 0.0000 2.3930
0.0000 2.3930 0.0000
2.3930 0.0000 0.0000
2.3930 2.3930 2.3930
0.0000 0.0000 0.0000

Which formula does entry 2 have?
ReHIrOs2